A plane-wave DFT calculation with PBE+U was carried out for a relaxed VCoPO2 crystal.

POSCAR file:
```
VCoPO2
1.0
3.6180 0.0000 0.0000
0.0000 3.6180 0.0000
0.0000 0.0000 4.8407
Co V P O
1 1 1 2
direct
0.0000 0.0000 0.0000 Co
0.5000 0.5000 0.5000 V
0.0000 0.0000 0.5000 P
0.0000 0.5000 0.0000 O
0.5000 0.0000 0.0000 O
```

Output
* density: 4.53 g/cm3
* space-group type: P4/mmm (123)
* total magnetic moment: 4.3 μB/cell
* E above lowest polymorph: 0.533 eV/atom